# 1
Below is a crystal of SrFe2Rh relaxed with PBEsol, with properties calculated at the SCAN level.

Cell lengths 4.5008, 4.5008, 4.5008 Å; angles 60.00, 60.00, 60.00 degrees
Fractional coordinates of all 4 atoms:
Sr 0.0000 0.0000 0.0000
Fe 0.5000 0.5000 0.5000
Fe 0.7500 0.7500 0.7500
Rh 0.2500 0.2500 0.2500

- crystal system = cubic
- SG = F-43m, No. 216



# 2
Below is a crystal of SrFe2Rh relaxed with PBEsol, with properties calculated at the SCAN level.

Cell lengths 3.2446, 3.2446, 6.7638 Å; angles 90.00, 90.00, 90.00 degrees
Fractional coordinates of all 4 atoms:
Sr 0.0000 0.0000 0.0000
Fe 0.5000 0.5000 0.3380
Fe 0.5000 0.5000 0.6620
Rh 0.0000 0.0000 0.5000

- crystal system = tetragonal
- SG = P4/mmm, No. 123



no.,calculated formation energy (eV/atom)
1,0.59
2,0.34